(1)
! ThHgBi2 (PBE, relaxed); values from VASP
! Polymorph energy (0 for the lowest one) = 0.031 eV per atom
! SG = P4/mmm
! Mass density = 11.47 g/cm3
! Magnetic moment = 0.000 μB/f.u.
! Uncorrected energy = -4.20 eV per atom
! D(E_F) = 3.00 states/eV per cell
&SYSTEM
  ibrav = 0, nat = 4, ntyp = 3
/
ATOMIC_SPECIES
Bi 208.98 Bi.upf
Hg 200.59 Hg.upf
Th 232.04 Th.upf
CELL_PARAMETERS angstrom
4.270 0.000 0.000
0.000 4.270 0.000
0.000 0.000 6.750
ATOMIC_POSITIONS crystal
Bi 0.000 0.000 0.736
Bi 0.000 0.000 0.264
Hg 0.500 0.500 0.000
Th 0.500 0.500 0.500

(2)
! TmThHgBi (PBE, relaxed); values from VASP
! SG = F-43m
! Mass density = 11.91 g/cm3
! Magnetic moment = 0.000 μB/f.u.
! Uncorrected energy = -4.36 eV per atom
! D(E_F) = 4.47 states/eV per cell
&SYSTEM
  ibrav = 0, nat = 4, ntyp = 4
/
ATOMIC_SPECIES
Bi 208.98 Bi.upf
Th 232.04 Th.upf
Tm 168.93 Tm.upf
Hg 200.59 Hg.upf
CELL_PARAMETERS angstrom
5.428 0.000 0.000
2.714 4.700 0.000
2.714 1.567 4.432
ATOMIC_POSITIONS crystal
Bi 0.250 0.250 0.250
Th 0.000 0.000 0.000
Tm 0.500 0.500 0.500
Hg 0.750 0.750 0.750

(3)
! YThHgBi (PBE, relaxed); values from VASP
! SG = F-43m
! Mass density = 10.57 g/cm3
! Magnetic moment = 0.000 μB/f.u.
! Uncorrected energy = -4.90 eV per atom
! D(E_F) = 4.74 states/eV per cell
&SYSTEM
  ibrav = 0, nat = 4, ntyp = 4
/
ATOMIC_SPECIES
Y 88.91 Y.upf
Bi 208.98 Bi.upf
Hg 200.59 Hg.upf
Th 232.04 Th.upf
CELL_PARAMETERS angstrom
5.454 0.000 0.000
2.727 4.724 0.000
2.727 1.575 4.454
ATOMIC_POSITIONS crystal
Y 0.750 0.750 0.750
Bi 0.000 0.000 0.000
Hg 0.500 0.500 0.500
Th 0.250 0.250 0.250

(4)
! ThZrHgBi (PBE, relaxed); values from VASP
! SG = F-43m
! Mass density = 11.46 g/cm3
! Magnetic moment = 0.230 μB/f.u.
! Uncorrected energy = -5.20 eV per atom
! D(E_F) = 6.18 states/eV per cell
&SYSTEM
  ibrav = 0, nat = 4, ntyp = 4
/
ATOMIC_SPECIES
Zr 91.22 Zr.upf
Hg 200.59 Hg.upf
Th 232.04 Th.upf
Bi 208.98 Bi.upf
CELL_PARAMETERS angstrom
5.315 0.000 0.000
2.657 4.603 0.000
2.657 1.534 4.340
ATOMIC_POSITIONS crystal
Zr 0.250 0.250 0.250
Hg 0.000 0.000 0.000
Th 0.750 0.750 0.750
Bi 0.500 0.500 0.500

(5)
! Ti2Hg2Bi (PBE, relaxed); values from VASP
! Polymorph energy (0 for the lowest one) = 0.222 eV per atom
! SG = I4/mmm
! Mass density = 10.18 g/cm3
! Magnetic moment = 1.019 μB/f.u.
! Uncorrected energy = -3.76 eV per atom
! D(E_F) = 5.76 states/eV per cell
&SYSTEM
  ibrav = 0, nat = 5, ntyp = 3
/
ATOMIC_SPECIES
Hg 200.59 Hg.upf
Ti 47.87 Ti.upf
Bi 208.98 Bi.upf
CELL_PARAMETERS angstrom
-3.835 -0.221 -1.186
0.056 -3.981 0.563
-4.024 -1.178 6.421
ATOMIC_POSITIONS crystal
Hg 0.395 0.395 0.210
Ti 0.750 0.250 0.500
Ti 0.250 0.750 0.500
Hg 0.605 0.605 0.790
Bi 0.000 0.000 0.000

(6)
! Ti2HgBi (PBE, relaxed); values from VASP
! SG = P4/mmm
! Mass density = 10.37 g/cm3
! Magnetic moment = 0.000 μB/f.u.
! Uncorrected energy = -4.96 eV per atom
! D(E_F) = 2.12 states/eV per cell
&SYSTEM
  ibrav = 0, nat = 4, ntyp = 3
/
ATOMIC_SPECIES
Ti 47.87 Ti.upf
Bi 208.98 Bi.upf
Hg 200.59 Hg.upf
CELL_PARAMETERS angstrom
-0.252 -1.503 3.829
4.071 -1.705 -0.402
1.731 3.758 1.589
ATOMIC_POSITIONS crystal
Ti 0.000 0.500 0.000
Bi 0.500 0.000 0.000
Hg 0.500 0.500 0.500
Ti 0.000 0.000 0.500

(7)
! TiHg2Bi (PBE, relaxed); values from VASP
! SG = I-42d
! Mass density = 11.00 g/cm3
! Magnetic moment = 0.772 μB/f.u.
! Uncorrected energy = -2.90 eV per atom
! D(E_F) = 5.15 states/eV per cell
&SYSTEM
  ibrav = 0, nat = 8, ntyp = 3
/
ATOMIC_SPECIES
Hg 200.59 Hg.upf
Ti 47.87 Ti.upf
Bi 208.98 Bi.upf
CELL_PARAMETERS angstrom
8.303 0.000 0.000
0.000 8.303 0.000
4.151 4.151 2.882
ATOMIC_POSITIONS crystal
Hg 0.375 0.405 0.750
Ti 0.250 0.750 0.500
Hg 0.875 0.845 0.750
Ti 0.500 0.500 0.000
Bi 0.750 0.250 0.500
Hg 0.155 0.625 0.250
Hg 0.595 0.125 0.250
Bi 0.000 0.000 0.000

(8)
! Ti2HgBi (PBE, relaxed); values from VASP
! SG = I-42d
! Mass density = 9.53 g/cm3
! Magnetic moment = 0.000 μB/f.u.
! Uncorrected energy = -4.78 eV per atom
! D(E_F) = 6.28 states/eV per cell
&SYSTEM
  ibrav = 0, nat = 8, ntyp = 3
/
ATOMIC_SPECIES
Ti 47.87 Ti.upf
Hg 200.59 Hg.upf
Bi 208.98 Bi.upf
CELL_PARAMETERS angstrom
7.621 0.000 0.000
0.000 7.621 0.000
3.810 3.810 3.031
ATOMIC_POSITIONS crystal
Ti 0.875 0.871 0.750
Ti 0.621 0.125 0.250
Ti 0.129 0.625 0.250
Ti 0.375 0.379 0.750
Hg 0.500 0.500 0.000
Bi 0.750 0.250 0.500
Bi 0.000 0.000 0.000
Hg 0.250 0.750 0.500

(9)
! Ti2HgBi (PBE, relaxed); values from VASP
! SG = P4/mmm
! Mass density = 10.26 g/cm3
! Magnetic moment = 0.003 μB/f.u.
! Uncorrected energy = -4.94 eV per atom
! D(E_F) = 3.90 states/eV per cell
&SYSTEM
  ibrav = 0, nat = 4, ntyp = 3
/
ATOMIC_SPECIES
Hg 200.59 Hg.upf
Bi 208.98 Bi.upf
Ti 47.87 Ti.upf
CELL_PARAMETERS angstrom
-3.565 -0.442 0.079
0.447 -3.430 0.972
-0.077 1.717 6.096
ATOMIC_POSITIONS crystal
Hg 0.500 0.500 0.000
Bi 0.500 0.500 0.500
Ti 0.000 0.000 0.256
Ti 0.000 0.000 0.744

(10)
! Ti2Hg2Bi (PBE, relaxed); values from VASP
! Polymorph energy (0 for the lowest one) = 0.000 eV per atom
! SG = P4/mbm
! Mass density = 10.61 g/cm3
! Magnetic moment = 1.153 μB/f.u.
! Uncorrected energy = -3.99 eV per atom
! D(E_F) = 8.99 states/eV per cell
&SYSTEM
  ibrav = 0, nat = 10, ntyp = 3
/
ATOMIC_SPECIES
Hg 200.59 Hg.upf
Ti 47.87 Ti.upf
Bi 208.98 Bi.upf
CELL_PARAMETERS angstrom
-2.657 -5.979 -2.955
3.754 -3.970 4.657
-3.292 0.106 2.744
ATOMIC_POSITIONS crystal
Hg 0.346 0.154 0.500
Hg 0.654 0.846 0.500
Ti 0.362 0.862 0.000
Ti 0.862 0.638 0.000
Bi 0.500 0.500 0.000
Hg 0.154 0.654 0.500
Ti 0.138 0.362 0.000
Bi 0.000 0.000 0.000
Ti 0.638 0.138 0.000
Hg 0.846 0.346 0.500

(11)
! TiHg2Bi (PBE, relaxed); values from VASP
! SG = P4/mmm
! Mass density = 11.57 g/cm3
! Magnetic moment = 0.835 μB/f.u.
! Uncorrected energy = -2.98 eV per atom
! D(E_F) = 3.47 states/eV per cell
&SYSTEM
  ibrav = 0, nat = 4, ntyp = 3
/
ATOMIC_SPECIES
Hg 200.59 Hg.upf
Bi 208.98 Bi.upf
Ti 47.87 Ti.upf
CELL_PARAMETERS angstrom
3.243 0.000 0.000
0.000 3.243 0.000
0.000 0.000 8.982
ATOMIC_POSITIONS crystal
Hg 0.000 0.000 0.792
Bi 0.500 0.500 0.500
Ti 0.500 0.500 0.000
Hg 0.000 0.000 0.208

(12)
! Ti2Hg2Bi (PBE, relaxed); values from VASP
! Polymorph energy (0 for the lowest one) = 0.087 eV per atom
! SG = P4/mbm
! Mass density = 10.42 g/cm3
! Magnetic moment = 1.989 μB/f.u.
! Uncorrected energy = -3.90 eV per atom
! D(E_F) = 9.32 states/eV per cell
&SYSTEM
  ibrav = 0, nat = 10, ntyp = 3
/
ATOMIC_SPECIES
Ti 47.87 Ti.upf
Hg 200.59 Hg.upf
Bi 208.98 Bi.upf
CELL_PARAMETERS angstrom
-0.387 -4.708 7.047
0.581 -7.052 -4.680
3.115 0.099 0.237
ATOMIC_POSITIONS crystal
Ti 0.614 0.886 0.500
Hg 0.175 0.325 0.000
Bi 0.000 0.000 0.000
Ti 0.114 0.614 0.500
Hg 0.325 0.825 0.000
Ti 0.386 0.114 0.500
Hg 0.675 0.175 0.000
Hg 0.825 0.675 0.000
Ti 0.886 0.386 0.500
Bi 0.500 0.500 0.000

(13)
! TiHg2Bi2 (PBE, relaxed); values from VASP
! SG = P4/mbm
! Mass density = 10.29 g/cm3
! Magnetic moment = 1.860 μB/f.u.
! Uncorrected energy = -2.97 eV per atom
! D(E_F) = 5.60 states/eV per cell
&SYSTEM
  ibrav = 0, nat = 10, ntyp = 3
/
ATOMIC_SPECIES
Hg 200.59 Hg.upf
Bi 208.98 Bi.upf
Ti 47.87 Ti.upf
CELL_PARAMETERS angstrom
-4.386 2.373 5.681
1.066 -6.577 3.570
3.929 1.862 2.256
ATOMIC_POSITIONS crystal
Hg 0.832 0.332 0.500
Bi 0.851 0.649 0.000
Bi 0.149 0.351 0.000
Hg 0.668 0.832 0.500
Ti 0.000 0.000 0.000
Hg 0.332 0.168 0.500
Bi 0.649 0.149 0.000
Bi 0.351 0.851 0.000
Ti 0.500 0.500 0.000
Hg 0.168 0.668 0.500

(14)
! Ti2HgBi (PBE, relaxed); values from VASP
! SG = R3m
! Mass density = 9.70 g/cm3
! Magnetic moment = 2.377 μB/f.u.
! Uncorrected energy = -4.79 eV per atom
! D(E_F) = 4.51 states/eV per cell
&SYSTEM
  ibrav = 0, nat = 4, ntyp = 3
/
ATOMIC_SPECIES
Ti 47.87 Ti.upf
Hg 200.59 Hg.upf
Bi 208.98 Bi.upf
CELL_PARAMETERS angstrom
-2.645 0.335 1.985
-0.119 -1.618 2.901
3.034 6.602 5.710
ATOMIC_POSITIONS crystal
Ti 0.248 0.248 0.255
Hg 0.500 0.500 0.500
Ti 0.085 0.085 0.745
Bi 0.667 0.667 0.000

(15)
! Ti5HgBi2 (PBE, relaxed); values from VASP
! SG = Cmcm
! Mass density = 6.89 g/cm3
! Magnetic moment = 0.719 μB/f.u.
! Uncorrected energy = -5.47 eV per atom
! D(E_F) = 20.59 states/eV per cell
&SYSTEM
  ibrav = 0, nat = 16, ntyp = 3
/
ATOMIC_SPECIES
Hg 200.59 Hg.upf
Ti 47.87 Ti.upf
Bi 208.98 Bi.upf
CELL_PARAMETERS angstrom
-2.037 3.863 -0.625
1.425 -2.746 -6.046
-12.916 -6.805 0.046
ATOMIC_POSITIONS crystal
Hg 0.919 0.837 0.750
Ti 0.709 0.417 0.250
Ti 0.099 0.198 0.065
Ti 0.901 0.802 0.565
Ti 0.901 0.802 0.935
Ti 0.300 0.601 0.492
Ti 0.300 0.601 0.008
Ti 0.700 0.399 0.508
Bi 0.880 0.760 0.373
Ti 0.291 0.583 0.750
Hg 0.081 0.163 0.250
Bi 0.120 0.240 0.873
Bi 0.880 0.760 0.127
Ti 0.099 0.198 0.435
Bi 0.120 0.240 0.627
Ti 0.700 0.399 0.992

(16)
! TiHg2Bi (PBE, relaxed); values from VASP
! SG = R-3m
! Mass density = 10.39 g/cm3
! Magnetic moment = 0.667 μB/f.u.
! Uncorrected energy = -2.67 eV per atom
! D(E_F) = 4.14 states/eV per cell
&SYSTEM
  ibrav = 0, nat = 4, ntyp = 3
/
ATOMIC_SPECIES
Ti 47.87 Ti.upf
Hg 200.59 Hg.upf
Bi 208.98 Bi.upf
CELL_PARAMETERS angstrom
-0.633 2.115 -2.444
0.375 -0.944 -3.133
-10.727 -3.065 -2.091
ATOMIC_POSITIONS crystal
Ti 0.000 0.000 0.000
Hg 0.082 0.082 0.754
Bi 0.500 0.500 0.500
Hg 0.918 0.918 0.246

(17)
! TiTlHgBi2 (PBE, relaxed); values from VASP
! SG = P4/mmm
! Mass density = 8.90 g/cm3
! Magnetic moment = 0.182 μB/f.u.
! Uncorrected energy = -3.57 eV per atom
! D(E_F) = 3.73 states/eV per cell
&SYSTEM
  ibrav = 0, nat = 5, ntyp = 4
/
ATOMIC_SPECIES
Hg 200.59 Hg.upf
Bi 208.98 Bi.upf
Tl 204.38 Tl.upf
Ti 47.87 Ti.upf
CELL_PARAMETERS angstrom
5.419 0.000 0.000
0.000 5.419 0.000
0.000 0.000 5.534
ATOMIC_POSITIONS crystal
Hg 0.000 0.000 0.500
Bi 0.000 0.500 0.000
Tl 0.500 0.500 0.500
Bi 0.500 0.000 0.000
Ti 0.000 0.000 0.000

(18)
! Tl4Hg5Bi (PBE, relaxed); values from VASP
! Polymorph energy (0 for the lowest one) = 0.011 eV per atom
! SG = I4
! Mass density = 10.84 g/cm3
! Magnetic moment = 0.000 μB/f.u.
! Uncorrected energy = -1.47 eV per atom
! D(E_F) = 4.03 states/eV per cell
&SYSTEM
  ibrav = 0, nat = 10, ntyp = 3
/
ATOMIC_SPECIES
Hg 200.59 Hg.upf
Tl 204.38 Tl.upf
Bi 208.98 Bi.upf
CELL_PARAMETERS angstrom
-4.628 -3.107 -3.390
1.516 -1.021 -7.412
0.686 -7.599 -0.249
ATOMIC_POSITIONS crystal
Hg 0.843 0.363 0.841
Tl 0.519 0.621 0.234
Hg 0.047 0.637 0.159
Hg 0.708 0.000 0.000
Hg 0.684 0.159 0.363
Tl 0.374 0.379 0.766
Bi 0.235 0.000 0.000
Tl 0.753 0.766 0.621
Tl 0.140 0.234 0.379
Hg 0.206 0.841 0.637

(19)
! Tl4Hg4Bi3 (PBE, relaxed); values from VASP
! SG = P1
! Mass density = 11.18 g/cm3
! Magnetic moment = 0.000 μB/f.u.
! Uncorrected energy = -2.02 eV per atom
! D(E_F) = 5.19 states/eV per cell
&SYSTEM
  ibrav = 0, nat = 11, ntyp = 3
/
ATOMIC_SPECIES
Tl 204.38 Tl.upf
Bi 208.98 Bi.upf
Hg 200.59 Hg.upf
CELL_PARAMETERS angstrom
-1.263 2.450 2.147
-1.226 -2.301 2.330
25.208 0.618 11.047
ATOMIC_POSITIONS crystal
Tl 0.541 0.539 0.094
Tl 0.456 0.457 0.906
Bi 0.999 0.999 0.000
Hg 0.931 0.935 0.817
Tl 0.160 0.156 0.365
Bi 0.387 0.391 0.729
Hg 0.719 0.719 0.459
Tl 0.841 0.845 0.635
Hg 0.069 0.065 0.183
Hg 0.283 0.284 0.541
Bi 0.614 0.610 0.271

(20)
! Tl3Hg3Bi2 (PBE, relaxed); values from VASP
! SG = C2/m
! Mass density = 10.83 g/cm3
! Magnetic moment = 0.000 μB/f.u.
! Uncorrected energy = -1.94 eV per atom
! D(E_F) = 3.24 states/eV per cell
&SYSTEM
  ibrav = 0, nat = 8, ntyp = 3
/
ATOMIC_SPECIES
Tl 204.38 Tl.upf
Bi 208.98 Bi.upf
Hg 200.59 Hg.upf
CELL_PARAMETERS angstrom
5.082 0.000 -1.534
-0.597 5.887 -1.978
-0.131 -0.933 8.750
ATOMIC_POSITIONS crystal
Tl 0.128 0.682 0.256
Tl 0.872 0.318 0.744
Bi 0.237 0.330 0.474
Hg 0.625 0.050 0.249
Hg 0.500 0.500 0.000
Bi 0.763 0.670 0.526
Hg 0.375 0.950 0.751
Tl 0.000 0.000 0.000

(21)
! Tl2Hg5Bi2 (PBE, relaxed); values from VASP
! SG = Ima2
! Mass density = 11.02 g/cm3
! Magnetic moment = 0.000 μB/f.u.
! Uncorrected energy = -1.52 eV per atom
! D(E_F) = 5.51 states/eV per cell
&SYSTEM
  ibrav = 0, nat = 18, ntyp = 3
/
ATOMIC_SPECIES
Tl 204.38 Tl.upf
Hg 200.59 Hg.upf
Bi 208.98 Bi.upf
CELL_PARAMETERS angstrom
-4.789 -9.063 1.614
-9.633 3.697 -1.100
9.032 -2.608 -4.392
ATOMIC_POSITIONS crystal
Tl 0.698 0.819 0.017
Hg 0.442 0.814 0.756
Hg 0.839 0.719 0.264
Hg 0.238 0.633 0.781
Hg 0.352 0.133 0.395
Hg 0.161 0.425 0.880
Bi 0.096 0.717 0.520
Hg 0.955 0.219 0.880
Hg 0.558 0.314 0.372
Hg 0.045 0.925 0.264
Bi 0.697 0.217 0.621
Bi 0.904 0.424 0.621
Hg 0.648 0.043 0.781
Hg 0.762 0.543 0.395
Tl 0.302 0.319 0.121
Bi 0.303 0.924 0.520
Tl 0.000 0.071 0.071
Tl 0.500 0.571 0.071

(22)
! Tl3Hg7Bi2 (PBE, relaxed); values from VASP
! Polymorph energy (0 for the lowest one) = 0.025 eV per atom
! SG = R-3m
! Mass density = 11.32 g/cm3
! Magnetic moment = 0.000 μB/f.u.
! Uncorrected energy = -1.37 eV per atom
! D(E_F) = 4.21 states/eV per cell
&SYSTEM
  ibrav = 0, nat = 12, ntyp = 3
/
ATOMIC_SPECIES
Tl 204.38 Tl.upf
Hg 200.59 Hg.upf
Bi 208.98 Bi.upf
CELL_PARAMETERS angstrom
-5.563 -2.867 -0.433
-1.602 -4.388 4.188
-6.667 4.962 7.348
ATOMIC_POSITIONS crystal
Tl 0.000 0.000 0.000
Hg 0.407 0.920 0.266
Hg 0.593 0.593 0.734
Tl 0.857 0.857 0.429
Hg 0.593 0.080 0.734
Hg 0.080 0.593 0.734
Hg 0.500 0.500 0.500
Bi 0.336 0.336 0.991
Hg 0.407 0.407 0.266
Hg 0.920 0.407 0.266
Bi 0.664 0.664 0.009
Tl 0.143 0.143 0.571

(23)
! TlHgBi2 (PBE, relaxed); values from VASP
! SG = Pnma
! Mass density = 10.76 g/cm3
! Magnetic moment = 0.000 μB/f.u.
! Uncorrected energy = -2.56 eV per atom
! D(E_F) = 7.05 states/eV per cell
&SYSTEM
  ibrav = 0, nat = 16, ntyp = 3
/
ATOMIC_SPECIES
Tl 204.38 Tl.upf
Hg 200.59 Hg.upf
Bi 208.98 Bi.upf
CELL_PARAMETERS angstrom
5.768 0.000 0.000
0.000 6.944 0.000
0.000 0.000 12.684
ATOMIC_POSITIONS crystal
Tl 0.250 0.243 0.845
Tl 0.750 0.757 0.155
Tl 0.250 0.743 0.655
Hg 0.250 0.741 0.909
Bi 0.750 0.508 0.870
Bi 0.250 0.492 0.130
Hg 0.750 0.759 0.409
Bi 0.250 0.024 0.124
Bi 0.250 0.524 0.376
Bi 0.750 0.476 0.624
Hg 0.750 0.259 0.091
Bi 0.250 0.992 0.370
Tl 0.750 0.257 0.345
Bi 0.750 0.976 0.876
Hg 0.250 0.241 0.591
Bi 0.750 0.008 0.630

(24)
! Tl6HgBi2 (PBE, relaxed); values from VASP
! Polymorph energy (0 for the lowest one) = 0.000 eV per atom
! SG = C2/m
! Mass density = 10.81 g/cm3
! Magnetic moment = 0.000 μB/f.u.
! Uncorrected energy = -2.49 eV per atom
! D(E_F) = 3.84 states/eV per cell
&SYSTEM
  ibrav = 0, nat = 9, ntyp = 3
/
ATOMIC_SPECIES
Tl 204.38 Tl.upf
Bi 208.98 Bi.upf
Hg 200.59 Hg.upf
CELL_PARAMETERS angstrom
5.225 0.000 0.000
-2.612 5.206 -1.223
0.000 0.627 10.275
ATOMIC_POSITIONS crystal
Tl 0.348 0.696 0.605
Tl 0.986 0.972 0.179
Bi 0.687 0.374 0.729
Tl 0.661 0.322 0.058
Hg 0.000 0.000 0.500
Tl 0.652 0.304 0.395
Tl 0.339 0.678 0.942
Bi 0.313 0.626 0.271
Tl 0.014 0.028 0.821